Computed, not measured: an optimized crystal structure of SrMnS at the PBE level of DFT.

Properties
D(E_F) = 1.12 states/eV/f.u.
Crystal system = trigonal
Final energy = -50.150 eV/cell
Formation energy (no corrections) = -0.5793 eV per atom
Density = 4.0 g/cm³
Energy above the lowest structure with this stoichiometry = 0.2890 eV/atom

Unit cell a=4.048 b=4.048 c=15.449 alpha=90.00 beta=90.00 gamma=120.00
Fractional coordinates of all 9 atoms:
Mn  0.333  0.667  0.332
Mn  0.667  0.333  0.999
Mn  0.000  0.000  0.665
S  0.000  0.000  0.966
S  0.333  0.667  0.632
S  0.667  0.333  0.299
Sr  0.000  0.000  0.169
Sr  0.667  0.333  0.502
Sr  0.333  0.667  0.835